Model 1:
First-principles (PBE) data for an optimized crystal structure of CoPtSN2, as listed in the Alexandria database.

Summary:
- space group = P4/mmm (123)
- crystal system = tetragonal

The structure in POSCAR format:
```
CoPtSN2
1.0
-1.262 -0.043 3.441
3.261 -1.185 1.181
2.219 7.006 0.902
Co Pt N S
1 1 2 1
direct
0.500 0.500 0.500
0.000 0.000 0.000
0.500 0.000 0.000
0.000 0.500 0.000
0.000 0.000 0.500
```

=====

Model 2:
First-principles (PBE) data for an optimized crystal structure of CoPtSN2, as listed in the Alexandria database.

Summary:
- space group = P4/mmm (123)
- crystal system = tetragonal

The structure in POSCAR format:
```
CoPtSN2
1.0
3.427 0.000 0.000
0.000 3.427 0.000
0.000 0.000 7.627
N Co Pt S
2 1 1 1
direct
0.000 0.500 0.000
0.500 0.000 0.000
0.000 0.000 0.000
0.500 0.500 0.500
0.000 0.000 0.500
```

=====

Stability summary: most stable model 2, least stable model 1.

=====

Model 1:
First-principles (PBE) data for an optimized crystal structure of CoTe2PtN, as listed in the Alexandria database.

Summary:
- space group = P4/mmm (123)
- crystal system = tetragonal

The structure in POSCAR format:
```
CoTe2PtN
1.0
5.202 0.000 0.000
0.000 5.202 0.000
0.000 0.000 3.340
Co Te Pt N
1 2 1 1
direct
0.000 0.000 0.000
0.000 0.500 0.000
0.500 0.000 0.000
0.500 0.500 0.500
0.000 0.000 0.500
```

=====

Model 2:
First-principles (PBE) data for an optimized crystal structure of CoTe2PtN, as listed in the Alexandria database.

Summary:
- space group = P4/mmm (123)
- crystal system = tetragonal

The structure in POSCAR format:
```
CoTe2PtN
1.0
-4.387 0.094 -1.989
0.770 -4.152 -1.894
-1.823 -2.126 3.921
Co Pt N Te
1 1 1 2
direct
0.000 0.000 0.000
0.000 0.500 0.000
0.500 0.500 0.500
0.500 0.000 0.000
0.000 0.000 0.500
```

=====

Stability summary: most stable model 1, least stable model 2.

=====

Model 1:
First-principles (PBE) data for an optimized crystal structure of CoTePtN2, as listed in the Alexandria database.

Summary:
- space group = P4/mmm (123)
- crystal system = tetragonal

The structure in POSCAR format:
```
CoTePtN2
1.0
3.734 0.000 0.000
0.000 3.734 0.000
0.000 0.000 8.332
Co N Pt Te
1 2 1 1
direct
0.500 0.500 0.500
0.500 0.000 0.000
0.000 0.500 0.000
0.000 0.000 0.000
0.000 0.000 0.500
```

=====

Model 2:
First-principles (PBE) data for an optimized crystal structure of CoTePtN2, as listed in the Alexandria database.

Summary:
- space group = P4/mmm (123)
- crystal system = tetragonal

The structure in POSCAR format:
```
CoTePtN2
1.0
-3.306 -0.284 1.526
0.006 -3.593 -0.655
2.512 -0.956 5.264
Co Pt N Te
1 1 2 1
direct
0.000 0.000 0.000
0.500 0.500 0.500
0.000 0.500 0.000
0.500 0.000 0.000
0.000 0.000 0.500
```

=====

Stability summary: most stable model 2, least stable model 1.

=====

Model 1:
First-principles (PBE) data for an optimized crystal structure of RbCoS2N, as listed in the Alexandria database.

Summary:
- space group = P4/mmm (123)
- crystal system = tetragonal

The structure in POSCAR format:
```
RbCoS2N
1.0
-3.711 1.398 3.366
1.967 -3.276 3.530
2.016 2.490 1.188
S Rb N Co
2 1 1 1
direct
0.500 0.000 0.000
0.000 0.500 0.000
0.500 0.500 0.500
0.000 0.000 0.500
0.000 0.000 0.000
```

=====

Model 2:
First-principles (PBE) data for an optimized crystal structure of RbCoS2N, as listed in the Alexandria database.

Summary:
- space group = P4/mmm (123)
- crystal system = tetragonal

The structure in POSCAR format:
```
RbCoS2N
1.0
5.791 0.000 0.000
0.000 5.791 0.000
0.000 0.000 5.049
Rb S Co N
1 2 1 1
direct
0.000 0.000 0.000
0.000 0.500 0.000
0.500 0.000 0.000
0.500 0.500 0.500
0.000 0.000 0.500
```

=====

Stability summary: most stable model 1, least stable model 2.